A | GGA-PBE Pm6Y3Ho2, relaxed; ρ = 6.33 g cm⁻³; spin magnetization = 0.00 μB per formula unit
1.0
-2.396 2.396 16.755
2.396 -2.396 16.755
2.396 2.396 -16.755
Pm Y Ho
6 3 2
Cartesian
2.396 0.000 4.000
0.000 0.000 6.545
2.396 0.000 12.755
0.000 2.396 4.000
0.000 0.000 26.966
0.000 2.396 12.755
0.000 0.000 10.018
0.000 0.000 16.755
0.000 0.000 23.492
0.000 0.000 1.517
0.000 0.000 31.994


B | GGA-PBE Pm6Y3Ho2, relaxed; ρ = 6.70 g cm⁻³; spin magnetization = 0.00 μB per formula unit
1.0
1.804 1.042 32.234
-1.804 1.042 32.234
0.000 -2.083 32.234
Pm Y Ho
6 3 2
Cartesian
0.000 0.000 8.800
0.000 0.000 17.620
0.000 0.000 35.165
0.000 0.000 61.537
0.000 0.000 79.082
0.000 0.000 87.902
0.000 0.000 0.000
0.000 0.000 26.373
0.000 0.000 70.328
0.000 0.000 43.934
0.000 0.000 52.768


Energies relative to the most stable structure are A 26.5; B 0.0, reported in kJ/mol of atoms.


A | GGA-PBE Pm3Y5Ho4, relaxed; ρ = 6.46 g cm⁻³; spin magnetization = 0.30 μB per formula unit
1.0
8.044 -2.958 0.000
8.044 2.958 0.000
-4.097 0.000 8.320
Pm Y Ho
3 5 4
Cartesian
0.000 0.000 0.000
1.540 0.000 6.416
10.451 0.000 1.904
-1.667 0.000 5.823
1.186 0.000 3.230
8.044 0.000 0.000
10.805 0.000 5.090
13.658 0.000 2.497
4.150 0.000 1.022
4.446 0.000 4.647
7.544 0.000 3.673
7.840 0.000 7.298


B | GGA-PBE Pm3Y5Ho4, relaxed; ρ = 6.60 g cm⁻³; spin magnetization = 0.00 μB per formula unit
1.0
6.189 0.000 0.000
-0.024 7.151 0.000
-0.017 -0.006 8.753
Pm Y Ho
3 5 4
Cartesian
0.000 0.000 0.000
0.996 5.345 5.832
5.153 1.800 2.921
-0.012 3.575 0.000
2.056 0.000 2.922
3.065 1.789 8.752
3.083 5.355 0.001
4.093 7.144 5.831
1.019 1.794 5.834
2.050 3.576 2.930
4.098 3.568 5.823
5.130 5.351 2.919


Energies relative to the most stable structure are A 20.9; B 0.0, reported in kJ/mol of atoms.


A | GGA-PBE PmYHoZn, relaxed; ρ = 7.00 g cm⁻³; spin magnetization = 0.01 μB per formula unit
1.0
0.000 3.804 3.804
3.804 0.000 3.804
3.804 3.804 0.000
Pm Y Ho Zn
1 1 1 1
Cartesian
0.000 0.000 0.000
3.804 3.804 3.804
1.902 1.902 1.902
5.706 5.706 5.706


B | GGA-PBE PmYHoZn, relaxed; ρ = 6.89 g cm⁻³; spin magnetization = 0.00 μB per formula unit
1.0
3.581 0.000 0.000
0.000 3.581 0.000
0.000 0.000 8.723
Pm Y Ho Zn
1 1 1 1
Cartesian
0.000 0.000 0.000
1.790 1.790 6.102
1.790 1.790 2.569
0.000 0.000 4.313


Energies relative to the most stable structure are A 20.0; B 0.0, reported in kJ/mol of atoms.


A | GGA-PBE Pm2HoZn2, relaxed; ρ = 7.42 g cm⁻³; spin magnetization = 0.80 μB per formula unit
1.0
1.816 -10.162 0.000
1.816 10.162 0.000
0.000 0.000 3.554
Pm Ho Zn
2 1 2
Cartesian
1.816 6.630 0.000
1.816 -6.630 0.000
0.000 0.000 0.000
1.816 1.670 1.777
1.816 -1.670 1.777


B | GGA-PBE Pm2HoZn2, relaxed; ρ = 7.35 g cm⁻³; spin magnetization = 0.00 μB per formula unit
1.0
4.550 0.000 0.000
0.000 4.387 0.000
-2.213 0.000 13.267
Pm Ho Zn
4 2 4
Cartesian
-0.001 1.097 1.472
0.031 3.290 7.005
2.306 1.097 6.262
2.338 3.290 11.795
0.048 1.097 9.673
2.289 3.290 3.594
0.026 1.097 4.418
0.059 1.097 12.591
2.278 3.290 0.676
2.311 3.290 8.849


Energies relative to the most stable structure are A 0.0; B 5.1, reported in kJ/mol of atoms.